Record 1
Entry from the Alexandria database: a geometry-optimized BaAl2Pt2 structure (PBEsol).

```
data_BaAl2Pt2
_chemical_formula_sum 'Ba2 Al4 Pt4'
_cell_length_a 4.247
_cell_length_b 4.247
_cell_length_c 11.516
_cell_angle_alpha 90.00
_cell_angle_beta 90.00
_cell_angle_gamma 90.00
_symmetry_space_group_name_H-M 'I 4/m m m'
_symmetry_Int_Tables_number 139
_symmetry_space_group_name_Hall '-I 4 2'
loop_
_atom_site_label
_atom_site_fract_x
_atom_site_fract_y
_atom_site_fract_z
Ba1 0.000 0.000 0.000
Al1 0.000 0.500 0.250
Pt1 0.000 0.000 0.369
```

=====

Record 2
Entry from the Alexandria database: a geometry-optimized Ba2AlPt structure (PBEsol).

```
data_Ba2AlPt
_chemical_formula_sum 'Ba4 Al2 Pt2'
_cell_length_a 4.340
_cell_length_b 5.106
_cell_length_c 11.591
_cell_angle_alpha 90.00
_cell_angle_beta 90.00
_cell_angle_gamma 90.00
_symmetry_space_group_name_H-M 'A m m 2'
_symmetry_Int_Tables_number 38
loop_
_symmetry_equiv_pos_as_xyz
'x,y,z'
'-x,-y,z'
'-x,y,z'
'x,-y,z'
'x,y+1/2,z+1/2'
'-x,-y+1/2,z+1/2'
'-x,y+1/2,z+1/2'
'x,-y+1/2,z+1/2'
loop_
_atom_site_label
_atom_site_fract_x
_atom_site_fract_y
_atom_site_fract_z
Ba1 0.000 0.000 0.000
Ba2 0.500 0.000 0.295
Al1 0.500 0.000 0.605
Pt1 0.000 0.000 0.705
```

=====

Record 3
Entry from the Alexandria database: a geometry-optimized Ba2AlPt structure (PBEsol).

```
data_Ba2AlPt
_chemical_formula_sum 'Ba2 Al1 Pt1'
_cell_length_a 3.540
_cell_length_b 3.540
_cell_length_c 9.597
_cell_angle_alpha 90.00
_cell_angle_beta 90.00
_cell_angle_gamma 90.00
_symmetry_space_group_name_H-M 'P 4 m m'
_symmetry_Int_Tables_number 99
loop_
_symmetry_equiv_pos_as_xyz
'x,y,z'
'-y,x,z'
'-x,-y,z'
'y,-x,z'
'-x,y,z'
'y,x,z'
'x,-y,z'
'-y,-x,z'
loop_
_atom_site_label
_atom_site_fract_x
_atom_site_fract_y
_atom_site_fract_z
Ba1 0.000 0.000 0.000
Ba2 0.500 0.500 0.414
Al1 0.500 0.500 0.745
Pt1 0.000 0.000 0.652
```

=====

Record 4
Entry from the Alexandria database: a geometry-optimized Ba3Al4Pt4 structure (PBEsol).

```
data_Ba3Al4Pt4
_chemical_formula_sum 'Ba12 Al16 Pt16'
_cell_length_a 10.809
_cell_length_b 8.153
_cell_length_c 11.658
_cell_angle_alpha 90.00
_cell_angle_beta 90.00
_cell_angle_gamma 90.00
_symmetry_space_group_name_H-M 'C m c m'
_symmetry_Int_Tables_number 63
_symmetry_space_group_name_Hall '-C 2c 2'
loop_
_atom_site_label
_atom_site_fract_x
_atom_site_fract_y
_atom_site_fract_z
Ba1 0.000 0.039 0.250
Ba2 0.217 0.000 0.000
Al1 0.000 0.411 0.123
Al2 0.137 0.335 0.750
Pt1 0.000 0.288 0.572
Pt2 0.185 0.361 0.250
```

=====

Record 5
# RbBa2Al2 (PBEsol, optimized geometry)
data_RbBa2Al2
_chemical_formula_sum 'Rb2 Ba4 Al4'
_cell_length_a 9.913
_cell_length_b 9.913
_cell_length_c 3.704
_cell_angle_alpha 90.00
_cell_angle_beta 90.00
_cell_angle_gamma 90.00
_symmetry_space_group_name_H-M 'P 4/m b m'
_symmetry_Int_Tables_number 127
_symmetry_space_group_name_Hall '-P 4 2ab'
loop_
_atom_site_label
_atom_site_fract_x
_atom_site_fract_y
_atom_site_fract_z
Rb1 0.000 0.000 0.000
Ba1 0.181 0.319 0.000
Al1 0.105 0.605 0.500
# Energy above the most stable polymorph in this dataset, meV/atom: 0

=====

Record 6
# RbBa2Al2 (PBEsol, optimized geometry)
data_RbBa2Al2
_chemical_formula_sum 'Rb2 Ba4 Al4'
_cell_length_a 3.976
_cell_length_b 3.976
_cell_length_c 27.382
_cell_angle_alpha 90.00
_cell_angle_beta 90.00
_cell_angle_gamma 90.00
_symmetry_space_group_name_H-M 'I 4/m m m'
_symmetry_Int_Tables_number 139
_symmetry_space_group_name_Hall '-I 4 2'
loop_
_atom_site_label
_atom_site_fract_x
_atom_site_fract_y
_atom_site_fract_z
Rb1 0.000 0.000 0.000
Ba1 0.000 0.000 0.356
Al1 0.000 0.500 0.250
# Energy above the most stable polymorph in this dataset, meV/atom: 55

=====

Record 7
Entry from the Alexandria database: a geometry-optimized RbBaAl2 structure (PBEsol).

```
data_RbBaAl2
_chemical_formula_sum 'Rb4 Ba4 Al8'
_cell_length_a 8.198
_cell_length_b 8.198
_cell_length_c 8.198
_cell_angle_alpha 90.00
_cell_angle_beta 90.00
_cell_angle_gamma 90.00
_symmetry_space_group_name_H-M 'F m -3 m'
_symmetry_Int_Tables_number 225
_symmetry_space_group_name_Hall '-F 4 2 3'
loop_
_atom_site_label
_atom_site_fract_x
_atom_site_fract_y
_atom_site_fract_z
Rb1 0.000 0.000 0.000
Ba1 0.000 0.000 0.500
Al1 0.250 0.250 0.250
```

=====

Record 8
Entry from the Alexandria database: a geometry-optimized BaAlRe2 structure (PBEsol).

```
data_BaAlRe2
_chemical_formula_sum 'Ba2 Al2 Re4'
_cell_length_a 6.032
_cell_length_b 9.359
_cell_length_c 2.912
_cell_angle_alpha 90.00
_cell_angle_beta 116.85
_cell_angle_gamma 90.00
_symmetry_space_group_name_H-M 'C 1 2/m 1'
_symmetry_Int_Tables_number 12
loop_
_symmetry_equiv_pos_as_xyz
'x,y,z'
'-x,-y,-z'
'-x,y,-z'
'x,-y,z'
'x+1/2,y+1/2,z'
'-x+1/2,-y+1/2,-z'
'-x+1/2,y+1/2,-z'
'x+1/2,-y+1/2,z'
loop_
_atom_site_label
_atom_site_fract_x
_atom_site_fract_y
_atom_site_fract_z
Ba1 0.000 0.000 0.000
Al1 0.000 0.500 0.000
Re1 0.250 0.250 0.500
```

=====

Record 9
Entry from the Alexandria database: a geometry-optimized BaAl3Re structure (PBEsol).

```
data_BaAl3Re
_chemical_formula_sum 'Ba1 Al3 Re1'
_cell_length_a 4.890
_cell_length_b 4.890
_cell_length_c 4.890
_cell_angle_alpha 90.00
_cell_angle_beta 90.00
_cell_angle_gamma 90.00
_symmetry_space_group_name_H-M 'P m -3 m'
_symmetry_Int_Tables_number 221
_symmetry_space_group_name_Hall '-P 4 2 3'
loop_
_atom_site_label
_atom_site_fract_x
_atom_site_fract_y
_atom_site_fract_z
Ba1 0.000 0.000 0.000
Al1 0.000 0.500 0.500
Re1 0.500 0.500 0.500
```

=====

Record 10
Entry from the Alexandria database: a geometry-optimized BaAlRe structure (PBEsol).

```
data_BaAlRe
_chemical_formula_sum 'Ba2 Al2 Re2'
_cell_length_a 3.480
_cell_length_b 3.480
_cell_length_c 11.564
_cell_angle_alpha 90.00
_cell_angle_beta 90.00
_cell_angle_gamma 90.00
_symmetry_space_group_name_H-M 'I 4 m m'
_symmetry_Int_Tables_number 107
_symmetry_space_group_name_Hall 'I 4 -2'
loop_
_atom_site_label
_atom_site_fract_x
_atom_site_fract_y
_atom_site_fract_z
Ba1 0.000 0.000 0.000
Al1 0.000 0.000 0.268
Re1 0.000 0.000 0.715
```

=====

Record 11
Entry from the Alexandria database: a geometry-optimized Ba2AlRe structure (PBEsol).

```
data_Ba2AlRe
_chemical_formula_sum 'Ba2 Al1 Re1'
_cell_length_a 3.087
_cell_length_b 4.684
_cell_length_c 7.606
_cell_angle_alpha 90.00
_cell_angle_beta 90.00
_cell_angle_gamma 90.00
_symmetry_space_group_name_H-M 'P m m m'
_symmetry_Int_Tables_number 47
loop_
_symmetry_equiv_pos_as_xyz
'x,y,z'
'-x,-y,-z'
'-x,-y,z'
'x,y,-z'
'x,-y,-z'
'-x,y,z'
'-x,y,-z'
'x,-y,z'
loop_
_atom_site_label
_atom_site_fract_x
_atom_site_fract_y
_atom_site_fract_z
Ba1 0.000 0.000 0.235
Al1 0.500 0.500 0.500
Re1 0.500 0.500 0.000
```

=====

Record 12
Entry from the Alexandria database: a geometry-optimized BaAl3Rh structure (PBEsol).

```
data_BaAl3Rh
_chemical_formula_sum 'Ba1 Al3 Rh1'
_cell_length_a 4.786
_cell_length_b 4.786
_cell_length_c 4.786
_cell_angle_alpha 90.00
_cell_angle_beta 90.00
_cell_angle_gamma 90.00
_symmetry_space_group_name_H-M 'P m -3 m'
_symmetry_Int_Tables_number 221
_symmetry_space_group_name_Hall '-P 4 2 3'
loop_
_atom_site_label
_atom_site_fract_x
_atom_site_fract_y
_atom_site_fract_z
Ba1 0.000 0.000 0.000
Al1 0.000 0.500 0.500
Rh1 0.500 0.500 0.500
```

=====

Which formation energy belongs to each record? In order, -0.872; -0.487; -0.350; -0.815; 0.108; 0.162; 0.332; 1.252; -0.200; 0.499; 0.963; -0.486 eV per atom.